Record 1
First-principles (PBE) data for a geometry-optimized In2ReTc structure, as listed in the Alexandria database.

Summary:
Size of the total moment (μB/f.u.): 0.00
Relative energy among the computed polymorphs (meV per atom): 319
Formation energy (meV/atom): 441

Structure (extended XYZ):
```
4
Lattice="5.166 -1.523 0.000 5.166 1.523 0.000 -1.607 0.000 4.588" Properties=species:S:1:pos:R:3 pbc="T T T"
In 0.000 0.000 0.000
In 1.188 0.000 2.968
Re 3.970 0.000 2.172
Tc 7.545 0.000 0.789
```



Record 2
First-principles (PBE) data for a geometry-optimized DyTlGa2Cl6 structure, as listed in the Alexandria database.

Summary:
Size of the total moment (μB/f.u.): 0.00
Uncorrected formation energy (eV per atom): -1.41

Structure (extended XYZ):
```
10
Lattice="7.536 0.000 0.000 3.766 6.540 0.000 3.766 2.174 6.654" Properties=species:S:1:pos:R:3 pbc="T T T"
Dy 0.000 0.000 0.000
Tl 7.536 4.357 3.091
Ga 3.769 2.177 0.424
Ga 11.304 6.538 3.910
Cl 6.550 6.688 5.289
Cl 4.700 4.699 1.731
Cl 6.016 2.340 5.295
Cl 9.237 6.649 1.727
Cl 10.040 4.044 5.296
Cl 8.661 1.728 1.735
```



Record 3
First-principles (PBE) data for a geometry-optimized NdDyEr2Tl2 structure, as listed in the Alexandria database.

Summary:
Size of the total moment (μB/f.u.): 0.00
Formation energy (meV/atom): -264

Structure (extended XYZ):
```
12
Lattice="5.126 0.000 0.000 0.000 10.031 0.000 0.000 0.000 6.806" Properties=species:S:1:pos:R:3 pbc="T T T"
Nd 0.000 0.416 0.000
Nd 0.000 9.616 3.403
Dy 2.563 1.926 4.921
Dy 2.563 8.105 1.518
Er 0.000 3.194 2.565
Er 0.000 6.837 5.968
Er 2.563 4.586 0.625
Er 2.563 5.445 4.028
Tl 0.000 3.699 5.708
Tl 0.000 6.332 2.305
Tl 2.563 1.413 1.776
Tl 2.563 8.618 5.179
```



Record 4
First-principles (PBE) data for a geometry-optimized KFeAg structure, as listed in the Alexandria database.

Summary:
Size of the total moment (μB/f.u.): 3.56
Relative energy among the computed polymorphs (meV per atom): 795
Formation energy (meV/atom): 1454

Structure (extended XYZ):
```
3
Lattice="0.000 3.708 3.708 3.708 0.000 3.708 3.708 3.708 0.000" Properties=species:S:1:pos:R:3 pbc="T T T"
K 0.000 0.000 0.000
Fe 1.854 1.854 1.854
Ag 5.563 5.563 5.563
```



Record 5
First-principles (PBE) data for a geometry-optimized RbGaO2 structure, as listed in the Alexandria database.

Summary:
Size of the total moment (μB/f.u.): 0.00
Uncorrected formation energy (eV per atom): -1.80

Structure (extended XYZ):
```
8
Lattice="-2.920 2.920 3.962 2.920 -2.920 3.962 2.920 2.920 -3.962" Properties=species:S:1:pos:R:3 pbc="T T T"
Rb 0.000 0.000 0.000
Rb 0.000 2.920 1.981
Ga 2.920 0.000 1.981
Ga 0.000 0.000 3.962
O 1.460 -0.633 2.972
O 2.287 1.460 0.991
O 1.460 3.552 -0.991
O 0.633 1.460 4.953
```



Record 6
First-principles (PBE) data for a geometry-optimized InTcPb2 structure, as listed in the Alexandria database.

Summary:
Size of the total moment (μB/f.u.): 0.00
Formation energy (meV/atom): 456

Structure (extended XYZ):
```
4
Lattice="4.776 0.000 0.000 0.000 1.852 5.346 0.000 -1.852 5.346" Properties=species:S:1:pos:R:3 pbc="T T T"
In 0.000 0.000 0.000
Tc 2.388 0.000 9.261
Pb 0.000 0.000 2.952
Pb 2.388 0.000 6.281
```



Record 7
First-principles (PBE) data for a geometry-optimized Nd2Y3PuSe6 structure, as listed in the Alexandria database.

Summary:
Size of the total moment (μB/f.u.): 6.01
Uncorrected formation energy (eV per atom): -1.77

Structure (extended XYZ):
```
12
Lattice="9.053 -2.057 0.000 9.053 2.057 0.000 -2.004 0.000 8.105" Properties=species:S:1:pos:R:3 pbc="T T T"
Nd 2.336 0.000 2.691
Nd 13.766 0.000 5.415
Y 1.359 0.000 6.775
Y 8.051 0.000 4.053
Y 14.743 0.000 1.331
Pu 9.053 0.000 0.000
Se -1.439 0.000 6.066
Se 4.169 0.000 7.491
Se 5.263 0.000 3.315
Se 10.839 0.000 4.791
Se 11.933 0.000 0.615
Se 17.541 0.000 2.039
```



Record 8
First-principles (PBE) data for a geometry-optimized K5HfS5 structure, as listed in the Alexandria database.

Summary:
Size of the total moment (μB/f.u.): 1.15
Uncorrected formation energy (eV per atom): -1.12

Structure (extended XYZ):
```
11
Lattice="7.218 -2.937 0.000 7.218 2.937 0.000 -2.773 0.000 8.072" Properties=species:S:1:pos:R:3 pbc="T T T"
K 0.000 0.000 0.000
K 3.857 0.000 1.543
K 2.892 0.000 5.226
K 8.771 0.000 2.846
K 7.806 0.000 6.530
Hf -1.386 0.000 4.036
S 0.843 0.000 2.879
S -0.216 0.000 6.303
S 5.831 0.000 4.036
S 11.879 0.000 1.770
S 10.819 0.000 5.193
```



no.,V (Å³ per atom)
1,18.04
2,32.79
3,29.16
4,34.00
5,16.89
6,23.65
7,25.16
8,31.12